A relaxed Sr3Cd2Pb3 crystal. Source: Alexandria, functional PBE.

Lattice parameters (Å, degrees): 5.1185 6.6428 16.8578 90.00 90.00 112.66
Fractional coordinates of all 16 atoms:
Pb 0.6208 0.2416 0.0351
Pb 0.3792 0.7584 0.9649
Pb 0.3521 0.7043 0.2500
Pb 0.6208 0.2416 0.4649
Pb 0.3792 0.7584 0.5351
Pb 0.6479 0.2957 0.7500
Sr 0.9141 0.8281 0.3905
Sr 0.6416 0.2833 0.2500
Sr 0.9141 0.8281 0.1095
Sr 0.0859 0.1719 0.6095
Sr 0.0859 0.1719 0.8905
Sr 0.3584 0.7167 0.7500
Cd 0.2094 0.4187 0.3953
Cd 0.7906 0.5813 0.6047
Cd 0.7906 0.5813 0.8953
Cd 0.2094 0.4187 0.1047

Summary:
Total magnetization: 0.00 μB per atom
Energy: -43.24 eV per cell

=====

A relaxed SrCd4Pb2 crystal. Source: Alexandria, functional PBE.

Lattice parameters (Å, degrees): 4.6470 4.6751 9.4556 104.31 90.00 90.00
Fractional coordinates of all 7 atoms:
Cd 0.0000 0.3045 0.6091
Cd 0.5000 0.1918 0.3835
Cd 0.0000 0.6955 0.3909
Cd 0.5000 0.8082 0.6165
Pb 0.5000 0.5851 0.1702
Pb 0.5000 0.4149 0.8298
Sr 0.0000 0.0000 0.0000

Summary:
Total magnetization: 0.00 μB per atom
Energy: -13.82 eV per cell

=====

A relaxed SrCd4Pb crystal. Source: Alexandria, functional PBE.

Lattice parameters (Å, degrees): 5.1510 5.1512 7.2106 90.06 90.02 120.00
Fractional coordinates of all 6 atoms:
Pb 0.0039 0.4994 0.9982
Cd 0.6703 0.8320 0.2362
Cd 0.3370 0.1653 0.2362
Cd 0.3378 0.1669 0.7600
Cd 0.6711 0.8335 0.7600
Sr 0.0040 0.4994 0.4982

Summary:
Total magnetization: 0.00 μB per atom
Energy above the lowest structure with this stoichiometry: 0 meV per atom

=====

A relaxed Sr5Cd2Pb crystal. Source: Alexandria, functional PBE.

Lattice parameters (Å, degrees): 8.6158 8.6158 10.4668 114.30 114.30 90.00
Fractional coordinates of all 16 atoms:
Sr 0.0000 0.0000 0.0000
Sr 0.0276 0.5276 0.7047
Sr 0.4724 0.3229 0.2953
Sr 0.6771 0.1771 0.7047
Sr 0.8229 0.9724 0.2953
Sr 0.5000 0.5000 0.0000
Sr 0.5276 0.6771 0.7047
Sr 0.3229 0.8229 0.2953
Sr 0.1771 0.0276 0.7047
Sr 0.9724 0.4724 0.2953
Cd 0.6186 0.1186 0.0000
Cd 0.1186 0.3814 0.0000
Cd 0.8814 0.6186 0.0000
Cd 0.3814 0.8814 0.0000
Pb 0.2500 0.2500 0.5000
Pb 0.7500 0.7500 0.5000

Summary:
Total magnetization: 0.00 μB per atom
Energy: -33.43 eV per cell

=====

A relaxed Sr2Cd10Pb crystal. Source: Alexandria, functional PBE.

Lattice parameters (Å, degrees): 6.0371 10.1302 13.0967 90.00 90.00 119.69
Fractional coordinates of all 26 atoms:
Cd 0.6086 0.6141 0.4124
Cd 0.8766 0.5382 0.2449
Cd 0.9408 0.1254 0.4866
Cd 0.1234 0.9618 0.7449
Cd 0.8766 0.0382 0.2551
Cd 0.1432 0.3690 0.2965
Cd 0.9408 0.6254 0.0134
Cd 0.3914 0.8859 0.9124
Cd 0.0592 0.8746 0.5134
Cd 0.8568 0.1310 0.7965
Cd 0.6086 0.1141 0.0876
Cd 0.1234 0.4618 0.7551
Cd 0.8568 0.6310 0.7035
Cd 0.5852 0.1718 0.6174
Cd 0.0592 0.3746 0.9866
Cd 0.4148 0.3282 0.1174
Cd 0.4148 0.8282 0.3826
Cd 0.3914 0.3859 0.5876
Cd 0.5852 0.6718 0.8826
Cd 0.1432 0.8690 0.2035
Pb 0.0000 0.0000 0.0000
Pb 0.0000 0.5000 0.5000
Sr 0.4940 0.6906 0.1420
Sr 0.5060 0.3094 0.8580
Sr 0.4940 0.1906 0.3580
Sr 0.5060 0.8094 0.6420

Summary:
Total magnetization: 0.00 μB per atom
Energy: -36.90 eV per cell

=====

A relaxed Sr4Cd6Pb7 crystal. Source: Alexandria, functional PBE.

Lattice parameters (Å, degrees): 8.7909 8.7909 8.7909 109.47 109.47 109.47
Fractional coordinates of all 17 atoms:
Sr 0.5000 0.5000 0.5000
Sr 0.5000 0.0000 0.0000
Sr 0.0000 0.0000 0.5000
Sr 0.0000 0.5000 0.0000
Cd 0.6944 0.0000 0.6944
Cd 0.3056 0.3056 0.0000
Cd 0.3056 0.0000 0.3056
Cd 0.0000 0.3056 0.3056
Cd 0.0000 0.6944 0.6944
Cd 0.6944 0.6944 0.0000
Pb 0.2500 0.7500 0.5000
Pb 0.5000 0.2500 0.7500
Pb 0.5000 0.7500 0.2500
Pb 0.2500 0.5000 0.7500
Pb 0.0000 0.0000 0.0000
Pb 0.7500 0.2500 0.5000
Pb 0.7500 0.5000 0.2500

Summary:
Total magnetization: 0.00 μB per atom
Energy: -43.03 eV per cell

=====

| no. | theoretical density (Mg/m³) |
| --- | --- |
| 1 | 7.0 |
| 2 | 7.9 |
| 3 | 7.5 |
| 4 | 4.6 |
| 5 | 7.2 |
| 6 | 7.9 |